[1]
Rb2BaMgCl6 | PBE | relaxed

a = 7.8007 Å, b = 7.8007 Å, c = 7.8007 Å
α = 60.00°, β = 60.00°, γ = 90.00°
With the nearest neighbours (Å) after each atom.
Positions (direct):
Mg 0.5000 0.5000 0.0000  6 Cl 2.52
Cl 0.7283 0.2717 0.0000  1 Mg 2.52
Cl 0.2717 0.2717 0.4567  1 Mg 2.52
Rb 0.7500 0.2500 0.5000  12 Cl 3.91
Rb 0.2500 0.7500 0.5000  12 Cl 3.91
Ba 0.0000 0.0000 0.0000  6 Cl 3.00
Cl 0.2717 0.2717 0.0000  1 Mg 2.52
Cl 0.7283 0.7283 0.0000  1 Mg 2.52
Cl 0.7283 0.7283 0.5433  1 Mg 2.52
Cl 0.2717 0.7283 0.0000  1 Mg 2.52

## Properties
Excess energy over the best structure of this formula in the dataset   26.1 meV/atom
E_form (uncorrected)   -2.06 eV per atom
Space-group type   No. 225

=====

[2]
TbSbSe4 | PBE | relaxed

a = 7.2777 Å, b = 6.8457 Å, c = 6.9111 Å
α = 90.00°, β = 97.86°, γ = 90.00°
With the nearest neighbours (Å) after each atom.
Positions (direct):
Se 0.1083 0.9020 0.6101  1 Se 2.44
Sb 0.5000 0.0000 0.5000  4 Se 2.78-2.93
Se 0.3564 0.8624 0.1310  1 Sb 2.78, 2 Tb 2.79-2.89
Sb 0.0000 0.5000 0.5000  4 Se 2.78-2.93
Tb 0.0000 0.0000 0.0000  6 Se 2.79-2.99
Se 0.8564 0.6376 0.1310  1 Sb 2.78, 2 Tb 2.79-2.89
Se 0.8917 0.0980 0.3899  1 Se 2.44
Se 0.6083 0.5980 0.6101  1 Se 2.44
Se 0.3917 0.4020 0.3899  1 Se 2.44
Se 0.1436 0.3624 0.8690  1 Sb 2.78, 2 Tb 2.79-2.89
Se 0.6436 0.1376 0.8690  1 Sb 2.78, 2 Tb 2.79-2.89
Tb 0.5000 0.5000 0.0000  6 Se 2.79-2.99

## Properties
E_form (uncorrected)   -0.69 eV per atom
Space-group type   No. 14

=====

[3]
PrTm2H | PBE | relaxed

a = 3.4628 Å, b = 3.4628 Å, c = 9.6801 Å
α = 79.70°, β = 79.70°, γ = 60.00°
With the nearest neighbours (Å) after each atom.
Positions (direct):
Tm 0.1208 0.1208 0.6377  3 H 2.39
Tm 0.8792 0.8792 0.3623  3 H 2.39
Pr 0.0000 0.0000 0.0000  2 Tm 3.43, 6 Pr 3.46
H 0.5000 0.5000 0.5000  6 Tm 2.39

## Properties
Final energy   -4.309 eV per atom
Space-group type   No. 166

=====

[4]
BaZrIn2 | PBE | relaxed

a = 5.9271 Å, b = 5.9271 Å, c = 3.2990 Å
α = 90.00°, β = 90.00°, γ = 102.73°
With the nearest neighbours (Å) after each atom.
Positions (direct):
In 0.5000 0.5000 0.0000  2 In 3.30, 4 Ba 3.39, 4 Zr 3.39
Ba 0.0000 0.5000 0.5000  2 Ba 3.30, 8 In 3.39
In 0.0000 0.0000 0.0000  2 In 3.30, 4 Zr 3.39, 4 Ba 3.39
Zr 0.5000 0.0000 0.5000  2 Zr 3.30, 8 In 3.39

## Properties
ΔE_f   -0.0301 eV per atom
Excess energy over the best structure of this formula in the dataset   216.0 meV/atom
Space-group type   No. 65

=====

[5]
LaTeP2 | PBE | relaxed

a = 4.2290 Å, b = 4.2290 Å, c = 6.0201 Å
α = 90.00°, β = 90.00°, γ = 90.00°
With the nearest neighbours (Å) after each atom.
Positions (direct):
Te 0.0000 0.0000 0.3211  1 P 2.54
La 0.5000 0.5000 0.8985  6 P 2.91-3.11
P 0.5000 0.5000 0.3819  2 La 2.91-3.11, 4 Te 3.01
P 0.0000 0.0000 0.8985  1 Te 2.54

## Properties
E_form (uncorrected)   -0.54 eV per atom
Space-group type   No. 99

=====

[6]
Li3ZnCu3 | PBE | relaxed

a = 7.2436 Å, b = 7.2436 Å, c = 7.2436 Å
α = 90.00°, β = 90.00°, γ = 90.00°
With the nearest neighbours (Å) after each atom.
Positions (direct):
Li 0.1093 0.8907 0.3907  1 Zn 2.35, 6 Cu 2.37-2.54
Li 0.9034 0.9034 0.9034  6 Cu 2.49-2.55, 3 Zn 2.68
Cu 0.8010 0.3820 0.4233  5 Li 2.37-2.63, 1 Zn 2.62
Li 0.0966 0.4034 0.5966  6 Cu 2.49-2.55, 3 Zn 2.68
Li 0.7162 0.2838 0.7838  1 Zn 2.58, 6 Cu 2.63-2.78, 3 Li 2.79
Cu 0.3820 0.4233 0.8010  5 Li 2.37-2.63, 1 Zn 2.62
Zn 0.5784 0.9216 0.0784  2 Li 2.35-2.58, 3 Cu 2.62
Cu 0.9233 0.6990 0.6180  5 Li 2.37-2.63, 1 Zn 2.62
Cu 0.1990 0.8820 0.0767  5 Li 2.37-2.63, 1 Zn 2.62
Zn 0.4216 0.4216 0.4216  2 Li 2.35-2.58, 3 Cu 2.62
Li 0.5966 0.0966 0.4034  6 Cu 2.49-2.55, 3 Zn 2.68
Zn 0.9216 0.0784 0.5784  2 Li 2.35-2.58, 3 Cu 2.62
Li 0.7838 0.7162 0.2838  1 Zn 2.58, 6 Cu 2.63-2.78, 3 Li 2.79
Cu 0.1180 0.5767 0.3010  5 Li 2.37-2.63, 1 Zn 2.62
Cu 0.5767 0.3010 0.1180  5 Li 2.37-2.63, 1 Zn 2.62
Cu 0.6180 0.9233 0.6990  5 Li 2.37-2.63, 1 Zn 2.62
Cu 0.8820 0.0767 0.1990  5 Li 2.37-2.63, 1 Zn 2.62
Li 0.2162 0.2162 0.2162  1 Zn 2.58, 6 Cu 2.63-2.78, 3 Li 2.79
Li 0.6093 0.6093 0.6093  1 Zn 2.35, 6 Cu 2.37-2.54
Li 0.4034 0.5966 0.0966  6 Cu 2.49-2.55, 3 Zn 2.68
Cu 0.4233 0.8010 0.3820  5 Li 2.37-2.63, 1 Zn 2.62
Zn 0.0784 0.5784 0.9216  2 Li 2.35-2.58, 3 Cu 2.62
Cu 0.0767 0.1990 0.8820  5 Li 2.37-2.63, 1 Zn 2.62
Li 0.2838 0.7838 0.7162  1 Zn 2.58, 6 Cu 2.63-2.78, 3 Li 2.79
Li 0.3907 0.1093 0.8907  1 Zn 2.35, 6 Cu 2.37-2.54
Cu 0.6990 0.6180 0.9233  5 Li 2.37-2.63, 1 Zn 2.62
Cu 0.3010 0.1180 0.5767  5 Li 2.37-2.63, 1 Zn 2.62
Li 0.8907 0.3907 0.1093  1 Zn 2.35, 6 Cu 2.37-2.54

## Properties
ΔE_f   0.0139 eV per atom
Excess energy over the best structure of this formula in the dataset   87.0 meV/atom
Space-group type   No. 198

=====

[7]
SrEr3In4 | PBE | relaxed

a = 5.5645 Å, b = 7.2916 Å, c = 10.8808 Å
α = 90.00°, β = 90.00°, γ = 90.00°
With the nearest neighbours (Å) after each atom.
Positions (direct):
In 0.5000 0.7654 0.0000  6 Er 3.25-3.36, 2 Sr 3.39, 3 In 3.42-3.54
Sr 0.0000 0.5000 0.0000  8 In 3.38-3.39, 4 Er 3.65
Sr 0.0000 0.5000 0.5000  8 In 3.38-3.39, 4 Er 3.65
In 0.0932 0.7662 0.7500  6 Er 3.25-3.53, 2 Sr 3.38, 3 In 3.41-3.54
Er 0.5639 0.5000 0.7500  8 In 3.26-3.53, 2 Sr 3.65, 2 Er 3.65
In 0.5000 0.2346 0.0000  6 Er 3.25-3.36, 2 Sr 3.39, 3 In 3.42-3.54
In 0.5000 0.7654 0.5000  6 Er 3.25-3.36, 2 Sr 3.39, 3 In 3.42-3.54
In 0.9068 0.2338 0.2500  6 Er 3.25-3.53, 2 Sr 3.38, 3 In 3.41-3.54
Er 0.4088 0.0000 0.2500  8 In 3.25-3.27, 2 Er 3.55
Er 0.0000 0.0000 0.5000  8 In 3.25-3.27, 2 Er 3.55
Er 0.5912 0.0000 0.7500  8 In 3.25-3.27, 2 Er 3.55
In 0.5000 0.2346 0.5000  6 Er 3.25-3.36, 2 Sr 3.39, 3 In 3.42-3.54
In 0.0932 0.2338 0.7500  6 Er 3.25-3.53, 2 Sr 3.38, 3 In 3.41-3.54
Er 0.4361 0.5000 0.2500  8 In 3.26-3.53, 2 Sr 3.65, 2 Er 3.65
Er 0.0000 0.0000 0.0000  8 In 3.25-3.27, 2 Er 3.55
In 0.9068 0.7662 0.2500  6 Er 3.25-3.53, 2 Sr 3.38, 3 In 3.41-3.54

## Properties
ΔE_f   -0.3990 eV per atom
Space-group type   No. 51

=====

[8]
RbPb3I | PBE | relaxed

a = 6.4474 Å, b = 6.4474 Å, c = 6.4474 Å
α = 90.00°, β = 90.00°, γ = 90.00°
With the nearest neighbours (Å) after each atom.
Positions (direct):
Pb 0.0000 0.0000 0.5000  2 Rb 3.22
Pb 0.0000 0.5000 0.0000  2 Rb 3.22
Rb 0.0000 0.0000 0.0000  6 Pb 3.22
Pb 0.5000 0.0000 0.0000  2 Rb 3.22
I 0.5000 0.5000 0.5000  12 Pb 4.56

## Properties
Excess energy over the best structure of this formula in the dataset   656.9 meV/atom
E_form (uncorrected)   0.99 eV per atom
Space-group type   No. 221

=====

[9]
La2OsRhC | PBE | relaxed

a = 5.2463 Å, b = 5.2463 Å, c = 3.8881 Å
α = 90.00°, β = 90.00°, γ = 90.00°
With the nearest neighbours (Å) after each atom.
Positions (direct):
Os 0.0000 0.0000 0.5000  2 C 1.94
C 0.0000 0.0000 0.0000  2 Os 1.94
Rh 0.5000 0.5000 0.5000  8 La 3.27
La 0.0000 0.5000 0.0000  2 C 2.62
La 0.5000 0.0000 0.0000  2 C 2.62

## Properties
ΔE_f   -0.2379 eV per atom
Space-group type   No. 123

=====

[10]
NiMoOs2 | PBE | relaxed

a = 4.6978 Å, b = 4.6978 Å, c = 4.6530 Å
α = 80.59°, β = 80.59°, γ = 33.77°
With the nearest neighbours (Å) after each atom.
Positions (direct):
Ni 0.2514 0.2514 0.2510  7 Os 2.63-2.76, 3 Mo 2.66-2.71, 2 Ni 2.73
Os 0.7462 0.7462 0.7692  4 Ni 2.63-2.76, 5 Os 2.64-2.73, 3 Mo 2.75-2.78
Os 0.0025 0.0025 0.9891  5 Os 2.64-2.73, 4 Mo 2.69-2.70, 3 Ni 2.72-2.74
Mo 0.4999 0.4999 0.4907  3 Ni 2.66-2.71, 7 Os 2.69-2.78, 2 Mo 2.73

## Properties
ΔE_f   0.1232 eV per atom
Excess energy over the best structure of this formula in the dataset   85.6 meV/atom
Space-group type   No. 8

=====

[11]
K3Pu2O9 | PBE | relaxed

a = 8.0208 Å, b = 8.0208 Å, c = 8.0208 Å
α = 83.57°, β = 83.57°, γ = 83.57°
With the nearest neighbours (Å) after each atom.
Positions (direct):
O 0.8966 0.7500 0.6034  2 Pu 2.14
O 0.4080 0.2538 0.5604  1 Pu 1.90
Pu 0.6550 0.6550 0.6550  3 O 1.90
O 0.9080 0.0604 0.7538  1 Pu 1.90
O 0.2538 0.5604 0.4080  1 Pu 1.90
O 0.7462 0.4396 0.5920  1 Pu 1.90
Pu 0.8450 0.8450 0.8450  3 O 1.90
O 0.0604 0.7538 0.9080  1 Pu 1.90
K 0.0906 0.4094 0.7500  12 O 3.03-3.30
O 0.2462 0.0920 0.9396  1 Pu 1.90
Pu 0.1550 0.1550 0.1550  3 O 1.90
O 0.9396 0.2462 0.0920  1 Pu 1.90
O 0.7500 0.6034 0.8966  2 Pu 2.14
K 0.5906 0.2500 0.9094  12 O 3.03-3.30
O 0.0920 0.9396 0.2462  1 Pu 1.90
K 0.2500 0.9094 0.5906  12 O 3.03-3.30
K 0.4094 0.7500 0.0906  12 O 3.03-3.30
O 0.1034 0.2500 0.3966  2 Pu 2.14
K 0.7500 0.0906 0.4094  12 O 3.03-3.30
O 0.5604 0.4080 0.2538  1 Pu 1.90
O 0.2500 0.3966 0.1034  2 Pu 2.14
O 0.3966 0.1034 0.2500  2 Pu 2.14
Pu 0.3450 0.3450 0.3450  3 O 1.90
O 0.7538 0.9080 0.0604  1 Pu 1.90
K 0.9094 0.5906 0.2500  12 O 3.03-3.30
O 0.4396 0.5920 0.7462  1 Pu 1.90
O 0.5920 0.7462 0.4396  1 Pu 1.90
O 0.6034 0.8966 0.7500  2 Pu 2.14

## Properties
E_form (uncorrected)   -1.98 eV per atom
Space-group type   No. 167

=====

[12]
LaTlCdGa | PBE | relaxed

a = 5.2703 Å, b = 5.2703 Å, c = 5.2703 Å
α = 60.00°, β = 60.00°, γ = 60.00°
With the nearest neighbours (Å) after each atom.
Positions (direct):
Tl 0.5000 0.5000 0.5000  4 Cd 3.23, 4 La 3.23
Cd 0.7500 0.7500 0.7500  4 Ga 3.23, 4 Tl 3.23
Ga 0.0000 0.0000 0.0000  4 Cd 3.23, 4 La 3.23
La 0.2500 0.2500 0.2500  4 Tl 3.23, 4 Ga 3.23

## Properties
ΔE_f   -0.2848 eV per atom
Space-group type   No. 216

=====

We obtain total magnetization values of 0.00; 0.00; 0.00; 0.00; 0.00; 0.00; 0.00; 2.51; 0.00; 0.00; 0.96; 0.00 μB/f.u. for the records listed above, in that order.